No. 1
# GGA-PBE Sc4Co2Cu, optimized geometry
# DOS at the Fermi energy ... 17.0 states/eV per cell
# VASP energy ... -136.10 eV per cell
# DFT formation energy ... -0.2476 eV per atom
data_Sc4Co2Cu
_chemical_formula_sum 'Sc12 Co6 Cu3'
_symmetry_space_group_name_H-M 'R -3 m'
_symmetry_Int_Tables_number 166
_symmetry_space_group_name_Hall '-R 3 2"'
_cell_length_a 4.4650
_cell_length_b 4.4650
_cell_length_c 21.4387
_cell_angle_alpha 90.00
_cell_angle_beta 90.00
_cell_angle_gamma 120.00
loop_
_atom_site_label
_atom_site_type_symbol
_atom_site_fract_x
_atom_site_fract_y
_atom_site_fract_z
Sc1 Sc 0.0000 0.0000 0.1197
Sc2 Sc 0.0000 0.0000 0.3710
Co1 Co 0.0000 0.0000 0.2462
Cu1 Cu 0.0000 0.0000 0.5000

No. 2
# GGA-PBE LiTe6Pb5, optimized geometry
# Energy relative to the elements, uncorrected ... -419 meV per atom
# DOS at the Fermi energy ... 19.4 states/eV per cell
# VASP energy ... -88.68 eV per cell
data_LiTe6Pb5
_chemical_formula_sum 'Li2 Te12 Pb10'
_symmetry_space_group_name_H-M 'C 1 2/m 1'
_symmetry_Int_Tables_number 12
_cell_length_a 7.892
_cell_length_b 13.667
_cell_length_c 7.888
_cell_angle_alpha 90.00
_cell_angle_beta 109.76
_cell_angle_gamma 90.00
loop_
_symmetry_equiv_pos_as_xyz
'x,y,z'
'-x,-y,-z'
'-x,y,-z'
'x,-y,z'
'x+1/2,y+1/2,z'
'-x+1/2,-y+1/2,-z'
'-x+1/2,y+1/2,-z'
'x+1/2,-y+1/2,z'
loop_
_atom_site_label
_atom_site_type_symbol
_atom_site_fract_x
_atom_site_fract_y
_atom_site_fract_z
Li1 Li 0.000 0.000 0.000
Te1 Te 0.237 0.000 0.749
Te2 Te 0.238 0.160 0.238
Pb1 Pb 0.000 0.176 0.500
Pb2 Pb 0.000 0.338 0.000
Pb3 Pb 0.000 0.500 0.500

No. 3
# GGA-PBE SrCrBr2, optimized geometry
# Offset from the most stable computed form ... 302 meV/atom
# Energy relative to the elements, uncorrected ... -390 meV per atom
# DOS at the Fermi energy ... 4.7 states/eV per cell
# VASP energy ... -64.85 eV per cell
data_SrCrBr2
_chemical_formula_sum 'Sr4 Cr4 Br8'
_symmetry_space_group_name_H-M 'F -4 3 m'
_symmetry_Int_Tables_number 216
_symmetry_space_group_name_Hall 'F -4 2 3'
_cell_length_a 7.774
_cell_length_b 7.774
_cell_length_c 7.774
_cell_angle_alpha 90.00
_cell_angle_beta 90.00
_cell_angle_gamma 90.00
loop_
_atom_site_label
_atom_site_type_symbol
_atom_site_fract_x
_atom_site_fract_y
_atom_site_fract_z
Sr1 Sr 0.000 0.000 0.000
Cr1 Cr 0.250 0.250 0.750
Br1 Br 0.000 0.000 0.500
Br2 Br 0.250 0.250 0.250

No. 4
# GGA-PBE GaPPbO2, optimized geometry
# Offset from the most stable computed form ... 536 meV/atom
# Energy relative to the elements, uncorrected ... 137 meV per atom
# DOS at the Fermi energy ... 4.3 states/eV per cell
# VASP energy ... -21.38 eV per cell
data_GaPPbO2
_chemical_formula_sum 'Ga1 P1 Pb1 O2'
_symmetry_space_group_name_H-M 'P 4/m m m'
_symmetry_Int_Tables_number 123
_symmetry_space_group_name_Hall '-P 4 2'
_cell_length_a 4.154
_cell_length_b 4.154
_cell_length_c 5.601
_cell_angle_alpha 90.00
_cell_angle_beta 90.00
_cell_angle_gamma 90.00
loop_
_atom_site_label
_atom_site_type_symbol
_atom_site_fract_x
_atom_site_fract_y
_atom_site_fract_z
Ga1 Ga 0.000 0.000 0.000
P1 P 0.500 0.500 0.000
Pb1 Pb 0.500 0.500 0.500
O1 O 0.000 0.500 0.500